[1]
Compound: Sr2Ho2Pd15
Source: Alexandria
Functional: GGA-PBE
Structure: relaxed

Geometry as CIF:
```
data_Sr2Ho2Pd15
_symmetry_space_group_name_H-M 'R -3 m'
_symmetry_Int_Tables_number 166
_symmetry_space_group_name_Hall '-R 3 2"'
_cell_length_a 9.3512
_cell_length_b 9.3512
_cell_length_c 14.1481
_cell_angle_alpha 90.00
_cell_angle_beta 90.00
_cell_angle_gamma 120.00
loop_
_atom_site_label
_atom_site_type_symbol
_atom_site_fract_x
_atom_site_fract_y
_atom_site_fract_z
Sr1 Sr 0.0000 0.0000 0.1409
Ho1 Ho 0.0000 0.0000 0.3907
Pd1 Pd 0.0000 0.2967 0.5000
Pd2 Pd 0.0000 0.5000 0.0000
Pd3 Pd 0.0008 0.5004 0.6527
```

## Properties
Its total moment is 0.00 μB per formula unit. The raw total energy is -100.13 eV per formula unit. The crystal system is trigonal. For the theoretical density, the calculation gives 9.770 g/cm³. As for the calculated formation energy: -511 meV per atom.

[2]
Compound: CeErPaIn
Source: Alexandria
Functional: GGA-PBE
Structure: relaxed

Geometry as CIF:
```
data_CeErPaIn
_symmetry_space_group_name_H-M 'F -4 3 m'
_symmetry_Int_Tables_number 216
_symmetry_space_group_name_Hall 'F -4 2 3'
_cell_length_a 7.492
_cell_length_b 7.492
_cell_length_c 7.492
_cell_angle_alpha 90.00
_cell_angle_beta 90.00
_cell_angle_gamma 90.00
loop_
_atom_site_label
_atom_site_type_symbol
_atom_site_fract_x
_atom_site_fract_y
_atom_site_fract_z
Ce1 Ce 0.000 0.000 0.000
Er1 Er 0.250 0.250 0.750
Pa1 Pa 0.250 0.250 0.250
In1 In 0.000 0.000 0.500
```

## Properties
Its total moment is 2.21 μB per formula unit. The raw total energy is -22.28 eV per formula unit. The crystal system is cubic. For the theoretical density, the calculation gives 10.317 g/cm³. As for the calculated formation energy: 114 meV per atom.

[3]
Compound: NaPr2SnO
Source: Alexandria
Functional: GGA-PBE
Structure: relaxed

Geometry as CIF:
```
data_NaPr2SnO
_symmetry_space_group_name_H-M 'P 4/m m m'
_symmetry_Int_Tables_number 123
_symmetry_space_group_name_Hall '-P 4 2'
_cell_length_a 4.994
_cell_length_b 4.994
_cell_length_c 4.750
_cell_angle_alpha 90.00
_cell_angle_beta 90.00
_cell_angle_gamma 90.00
loop_
_atom_site_label
_atom_site_type_symbol
_atom_site_fract_x
_atom_site_fract_y
_atom_site_fract_z
Na1 Na 0.000 0.000 0.000
Pr1 Pr 0.000 0.500 0.500
Sn1 Sn 0.500 0.500 0.000
O1 O 0.000 0.000 0.500
```

## Properties
Its total moment is 0.00 μB per formula unit. The raw total energy is -26.83 eV per formula unit. The crystal system is tetragonal. For the theoretical density, the calculation gives 6.161 g/cm³.

[4]
Compound: Nd3Mg4Cd2
Source: Alexandria
Functional: GGA-PBE
Structure: relaxed

Geometry as CIF:
```
data_Nd3Mg4Cd2
_symmetry_space_group_name_H-M 'C 1 2/m 1'
_symmetry_Int_Tables_number 12
_cell_length_a 11.285
_cell_length_b 5.214
_cell_length_c 9.658
_cell_angle_alpha 90.00
_cell_angle_beta 122.90
_cell_angle_gamma 90.00
loop_
_symmetry_equiv_pos_as_xyz
'x,y,z'
'-x,-y,-z'
'-x,y,-z'
'x,-y,z'
'x+1/2,y+1/2,z'
'-x+1/2,-y+1/2,-z'
'-x+1/2,y+1/2,-z'
'x+1/2,-y+1/2,z'
loop_
_atom_site_label
_atom_site_type_symbol
_atom_site_fract_x
_atom_site_fract_y
_atom_site_fract_z
Nd1 Nd 0.000 0.000 0.000
Nd2 Nd 0.164 0.500 0.668
Mg1 Mg 0.065 0.000 0.394
Mg2 Mg 0.216 0.500 0.052
Cd1 Cd 0.111 0.500 0.277
```

## Properties
Its total moment is 0.00 μB per formula unit. The raw total energy is -24.32 eV per formula unit. The crystal system is monoclinic. For the theoretical density, the calculation gives 5.254 g/cm³. As for the calculated formation energy: -201 meV per atom. Its offset from the most stable computed form is 0 meV per atom.

[5]
Compound: AcDySnBi
Source: Alexandria
Functional: GGA-PBE
Structure: relaxed

Geometry as CIF:
```
data_AcDySnBi
_symmetry_space_group_name_H-M 'F -4 3 m'
_symmetry_Int_Tables_number 216
_symmetry_space_group_name_Hall 'F -4 2 3'
_cell_length_a 8.010
_cell_length_b 8.010
_cell_length_c 8.010
_cell_angle_alpha 90.00
_cell_angle_beta 90.00
_cell_angle_gamma 90.00
loop_
_atom_site_label
_atom_site_type_symbol
_atom_site_fract_x
_atom_site_fract_y
_atom_site_fract_z
Ac1 Ac 0.000 0.000 0.000
Dy1 Dy 0.000 0.000 0.500
Sn1 Sn 0.250 0.250 0.750
Bi1 Bi 0.250 0.250 0.250
```

## Properties
Its total moment is 0.00 μB per formula unit. The raw total energy is -18.83 eV per formula unit. The crystal system is cubic. For the theoretical density, the calculation gives 9.271 g/cm³. As for the calculated formation energy: -559 meV per atom.

[6]
Compound: BiRuBr2
Source: Alexandria
Functional: GGA-PBE
Structure: relaxed

Geometry as CIF:
```
data_BiRuBr2
_symmetry_space_group_name_H-M 'I -4 2 d'
_symmetry_Int_Tables_number 122
_symmetry_space_group_name_Hall 'I -4 2bw'
_cell_length_a 9.187
_cell_length_b 9.187
_cell_length_c 5.309
_cell_angle_alpha 90.00
_cell_angle_beta 90.00
_cell_angle_gamma 90.00
loop_
_atom_site_label
_atom_site_type_symbol
_atom_site_fract_x
_atom_site_fract_y
_atom_site_fract_z
Bi1 Bi 0.000 0.000 0.000
Ru1 Ru 0.000 0.000 0.500
Br1 Br 0.114 0.250 0.625
```

## Properties
Its total moment is 0.33 μB per formula unit. The raw total energy is -15.70 eV per formula unit. The crystal system is tetragonal. For the theoretical density, the calculation gives 6.966 g/cm³. Its offset from the most stable computed form is 17 meV per atom.

[7]
Compound: Zn2CuAu
Source: Alexandria
Functional: GGA-PBE
Structure: relaxed

Geometry as CIF:
```
data_Zn2CuAu
_symmetry_space_group_name_H-M 'F m -3 m'
_symmetry_Int_Tables_number 225
_symmetry_space_group_name_Hall '-F 4 2 3'
_cell_length_a 6.186
_cell_length_b 6.186
_cell_length_c 6.186
_cell_angle_alpha 90.00
_cell_angle_beta 90.00
_cell_angle_gamma 90.00
loop_
_atom_site_label
_atom_site_type_symbol
_atom_site_fract_x
_atom_site_fract_y
_atom_site_fract_z
Zn1 Zn 0.250 0.250 0.250
Cu1 Cu 0.000 0.000 0.000
Au1 Au 0.000 0.000 0.500
```

## Properties
Its total moment is 0.00 μB per formula unit. The raw total energy is -10.48 eV per formula unit. The crystal system is cubic. For the theoretical density, the calculation gives 10.981 g/cm³. As for the calculated formation energy: -140 meV per atom.

[8]
Compound: CaReSb2
Source: Alexandria
Functional: GGA-PBE
Structure: relaxed

Geometry as CIF:
```
data_CaReSb2
_symmetry_space_group_name_H-M 'A m m 2'
_symmetry_Int_Tables_number 38
_cell_length_a 5.068
_cell_length_b 3.647
_cell_length_c 10.188
_cell_angle_alpha 90.00
_cell_angle_beta 90.00
_cell_angle_gamma 90.00
loop_
_symmetry_equiv_pos_as_xyz
'x,y,z'
'-x,-y,z'
'-x,y,z'
'x,-y,z'
'x,y+1/2,z+1/2'
'-x,-y+1/2,z+1/2'
'-x,y+1/2,z+1/2'
'x,-y+1/2,z+1/2'
loop_
_atom_site_label
_atom_site_type_symbol
_atom_site_fract_x
_atom_site_fract_y
_atom_site_fract_z
Ca1 Ca 0.000 0.000 0.000
Re1 Re 0.500 0.000 0.620
Sb1 Sb 0.000 0.000 0.723
Sb2 Sb 0.500 0.000 0.337
```

## Properties
Its total moment is 0.00 μB per formula unit. The raw total energy is -21.86 eV per formula unit. The crystal system is orthorhombic. For the theoretical density, the calculation gives 8.286 g/cm³. Its offset from the most stable computed form is 236 meV per atom.

no.,D(E_F) (states/eV/cell)
1,49.72
2,41.47
3,1.78
4,12.44
5,19.26
6,12.81
7,4.24
8,3.01